PrNd3Sb3 after structural relaxation, computed with PBE.

- Distance to the lowest polymorph of the same formula: 109 meV/atom
- Volume: 34.3 Å³/atom
- Magnetization: 0.0 μB per formula unit
- Calculated total energy: -76.27 eV/cell
- Energy relative to the elements, uncorrected: -955 meV/atom

Cell: 9.3573 9.3573 8.3183 Å, 55.77 55.77 60.00°
Fractional coordinates of all 14 atoms:
Pr: 0.3335 0.3335 0.9994
Pr: 0.6665 0.6665 0.0006
Sb: 0.2980 0.5382 0.2380
Sb: 0.9258 0.2980 0.2380
Sb: 0.0742 0.7020 0.7620
Sb: 0.5382 0.9258 0.2380
Sb: 0.4618 0.0742 0.7620
Sb: 0.7020 0.4618 0.7620
Nd: 0.9076 0.6465 0.2621
Nd: 0.6465 0.1838 0.2621
Nd: 0.3535 0.8162 0.7379
Nd: 0.8162 0.0924 0.7379
Nd: 0.0924 0.3535 0.7379
Nd: 0.1838 0.9076 0.2621

---

PrNd3Sb4 after structural relaxation, computed with PBE.

- Distance to the lowest polymorph of the same formula: 0 meV/atom
- Volume: 32.9 Å³/atom
- Magnetization: 0.0 μB per formula unit
- Calculated total energy: -45.13 eV/cell
- Energy relative to the elements, uncorrected: -1195 meV/atom

Cell: 6.4069 6.4069 6.4069 Å, 90.00 90.00 90.00°
Fractional coordinates of all 8 atoms:
Nd: 0.0000 0.5000 0.5000
Nd: 0.5000 0.5000 0.0000
Nd: 0.5000 0.0000 0.5000
Pr: 0.0000 0.0000 0.0000
Sb: 0.5000 0.5000 0.5000
Sb: 0.0000 0.5000 0.0000
Sb: 0.0000 0.0000 0.5000
Sb: 0.5000 0.0000 0.0000